{
  "formula": "Nb2VW",
  "functional": "PBE",
  "state": "relaxed",
  "lattice": [[7.1818, 0.0000, 0.0000], [0.0000, 7.1818, 0.0000], [0.0000, 0.0000, 5.4857]],
  "species": ["Nb", "Nb", "Nb", "Nb", "Nb", "Nb", "Nb", "Nb", "V", "V", "V", "V", "W", "W", "W", "W"],
  "fractional_positions": [[0.2434, 0.7500, 0.1250], [0.2500, 0.2434, 0.8750], [0.2500, 0.2566, 0.3750], [0.2566, 0.7500, 0.6250], [0.7434, 0.2500, 0.6250], [0.7500, 0.7434, 0.3750], [0.7500, 0.7566, 0.8750], [0.7566, 0.2500, 0.1250], [0.0000, 0.0000, 0.0000], [0.0000, 0.5000, 0.2500], [0.5000, 0.0000, 0.7500], [0.5000, 0.5000, 0.5000], [0.0000, 0.0000, 0.5000], [0.0000, 0.5000, 0.7500], [0.5000, 0.0000, 0.2500], [0.5000, 0.5000, 0.0000]],
  "formation_energy_kj_per_mol_fu": 271.0,
  "total_magnetization_mub_per_cell": 0.0,
  "de_polymorph_mev_per_atom": 710,
  "energy_ev_per_atom": -9.851,
  "mass_density_g_cm3": 9.87
}

---

{
  "formula": "NbVW2",
  "functional": "PBE",
  "state": "relaxed",
  "lattice": [[4.4744, 0.0000, 0.0000], [0.0000, 4.4744, 0.0000], [0.0000, 0.0000, 3.1878]],
  "species": ["Nb", "V", "W", "W"],
  "fractional_positions": [[0.0000, 0.0000, 0.0000], [0.5000, 0.5000, 0.0000], [0.0000, 0.5000, 0.5000], [0.5000, 0.0000, 0.5000]],
  "formation_energy_kj_per_mol_fu": -6.6,
  "total_magnetization_mub_per_cell": 0.0,
  "de_polymorph_mev_per_atom": 32,
  "energy_ev_per_atom": -11.291,
  "mass_density_g_cm3": 13.31
}

---

{
  "formula": "Nb2V2W3",
  "functional": "PBE",
  "state": "relaxed",
  "lattice": [[10.0486, 0.0000, 0.0000], [0.0000, 3.1768, 0.0000], [-1.0616, 0.0000, 7.0243]],
  "species": ["Nb", "Nb", "Nb", "Nb", "V", "V", "V", "V", "W", "W", "W", "W", "W", "W"],
  "fractional_positions": [[0.0736, 0.0000, 0.2183], [0.4264, 0.5000, 0.7817], [0.5736, 0.5000, 0.2183], [0.9264, 0.0000, 0.7817], [0.2089, 0.0000, 0.6389], [0.2911, 0.5000, 0.3611], [0.7089, 0.5000, 0.6389], [0.7911, 0.0000, 0.3611], [0.0000, 0.5000, 0.5000], [0.1475, 0.5000, 0.9260], [0.3525, 0.0000, 0.0740], [0.5000, 0.0000, 0.5000], [0.6475, 0.0000, 0.9260], [0.8525, 0.5000, 0.0740]],
  "formation_energy_kj_per_mol_fu": -14.9,
  "total_magnetization_mub_per_cell": 0.0,
  "energy_ev_per_atom": -11.056,
  "mass_density_g_cm3": 12.43
}

---

{
  "formula": "Nb5VW",
  "functional": "PBE",
  "state": "relaxed",
  "lattice": [[3.6474, -3.6923, 0.0000], [3.6474, 3.6923, 0.0000], [-3.5958, 0.0000, 9.3470]],
  "species": ["Nb", "Nb", "Nb", "Nb", "Nb", "Nb", "Nb", "Nb", "Nb", "Nb", "V", "V", "W", "W"],
  "fractional_positions": [[0.0489, 0.2706, 0.0384], [0.2063, 0.7937, 0.7500], [0.2706, 0.0489, 0.5384], [0.3754, 0.4075, 0.3555], [0.4075, 0.3754, 0.8555], [0.5925, 0.6246, 0.1445], [0.6246, 0.5925, 0.6445], [0.7294, 0.9511, 0.4616], [0.7937, 0.2063, 0.2500], [0.9511, 0.7294, 0.9616], [0.0000, 0.5000, 0.5000], [0.5000, 0.0000, 0.0000], [0.1648, 0.8352, 0.2500], [0.8352, 0.1648, 0.7500]],
  "formation_energy_kj_per_mol_fu": 238.8,
  "total_magnetization_mub_per_cell": 0.0,
  "energy_ev_per_atom": -9.992,
  "mass_density_g_cm3": 9.22
}

---

{
  "formula": "NbV12W6",
  "functional": "PBE",
  "state": "relaxed",
  "lattice": [[5.1005, 0.0000, 0.0000], [0.5078, 5.0931, 0.0000], [2.3765, 1.1138, 10.6733]],
  "species": ["Nb", "V", "V", "V", "V", "V", "V", "V", "V", "V", "V", "V", "V", "W", "W", "W", "W", "W", "W"],
  "fractional_positions": [[0.0000, 0.0000, 0.0000], [0.1081, 0.2090, 0.5251], [0.2178, 0.4204, 0.0529], [0.3212, 0.6360, 0.5763], [0.3757, 0.7347, 0.8408], [0.4228, 0.8397, 0.1063], [0.4714, 0.9437, 0.3722], [0.5286, 0.0563, 0.6278], [0.5772, 0.1603, 0.8937], [0.6243, 0.2653, 0.1592], [0.6788, 0.3640, 0.4237], [0.7822, 0.5796, 0.9471], [0.8919, 0.7910, 0.4749], [0.0498, 0.1020, 0.2666], [0.1644, 0.3218, 0.7869], [0.2628, 0.5230, 0.3196], [0.7372, 0.4770, 0.6804], [0.8356, 0.6782, 0.2131], [0.9502, 0.8980, 0.7334]],
  "formation_energy_kj_per_mol_fu": -62.6,
  "total_magnetization_mub_per_cell": 0.0,
  "energy_ev_per_atom": -10.414,
  "mass_density_g_cm3": 10.82
}

---

{
  "formula": "NbV6W",
  "functional": "PBE",
  "state": "relaxed",
  "lattice": [[4.3225, 0.0000, 0.0000], [0.0000, 6.1532, 0.0000], [0.0000, 0.0000, 8.7019]],
  "species": ["Nb", "Nb", "V", "V", "V", "V", "V", "V", "V", "V", "V", "V", "V", "V", "W", "W"],
  "fractional_positions": [[0.0000, 0.0000, 0.0000], [0.0000, 0.5000, 0.5000], [0.0000, 0.0000, 0.4928], [0.0000, 0.2489, 0.2479], [0.0000, 0.2511, 0.7479], [0.0000, 0.5000, 0.9928], [0.0000, 0.7489, 0.7479], [0.0000, 0.7511, 0.2479], [0.5000, 0.0000, 0.2514], [0.5000, 0.2435, 0.4952], [0.5000, 0.2565, 0.9952], [0.5000, 0.5000, 0.7514], [0.5000, 0.7435, 0.9952], [0.5000, 0.7565, 0.4952], [0.5000, 0.0000, 0.7434], [0.5000, 0.5000, 0.2434]],
  "formation_energy_kj_per_mol_fu": 7.4,
  "total_magnetization_mub_per_cell": 0.0,
  "de_polymorph_mev_per_atom": 0,
  "energy_ev_per_atom": -9.707,
  "mass_density_g_cm3": 8.36
}

---

{
  "formula": "Nb2V5W2",
  "functional": "PBE",
  "state": "relaxed",
  "lattice": [[2.7250, 0.0000, 0.0000], [0.8508, 6.7242, 0.0000], [0.0245, 1.2447, 7.4644]],
  "species": ["Nb", "Nb", "V", "V", "V", "V", "V", "W", "W"],
  "fractional_positions": [[0.2220, 0.3297, 0.1135], [0.7780, 0.6703, 0.8865], [0.0000, 0.0000, 0.0000], [0.1126, 0.6612, 0.5473], [0.4442, 0.6650, 0.2344], [0.5558, 0.3350, 0.7656], [0.8874, 0.3388, 0.4527], [0.3306, 0.0078, 0.6656], [0.6694, 0.9922, 0.3344]],
  "formation_energy_kj_per_mol_fu": 3.7,
  "total_magnetization_mub_per_cell": 0.0,
  "energy_ev_per_atom": -10.178,
  "mass_density_g_cm3": 9.81
}

---

{
  "formula": "Nb6VW",
  "functional": "PBE",
  "state": "relaxed",
  "lattice": [[4.5975, 0.0000, 0.0000], [0.0000, 6.5456, 0.0000], [0.0000, 0.0000, 9.2929]],
  "species": ["Nb", "Nb", "Nb", "Nb", "Nb", "Nb", "Nb", "Nb", "Nb", "Nb", "Nb", "Nb", "V", "V", "W", "W"],
  "fractional_positions": [[0.0000, 0.0000, 0.0000], [0.0000, 0.2459, 0.2486], [0.0000, 0.2541, 0.7486], [0.0000, 0.5000, 0.5000], [0.0000, 0.7459, 0.7486], [0.0000, 0.7541, 0.2486], [0.5000, 0.0000, 0.7484], [0.5000, 0.2458, 0.4981], [0.5000, 0.2542, 0.9981], [0.5000, 0.5000, 0.2484], [0.5000, 0.7458, 0.9981], [0.5000, 0.7542, 0.4981], [0.5000, 0.0000, 0.2491], [0.5000, 0.5000, 0.7491], [0.0000, 0.0000, 0.4966], [0.0000, 0.5000, 0.9966]],
  "formation_energy_kj_per_mol_fu": 8.5,
  "total_magnetization_mub_per_cell": 1.5,
  "de_polymorph_mev_per_atom": 0,
  "energy_ev_per_atom": -10.300,
  "mass_density_g_cm3": 9.41
}